Record 1
CaLa2Zr: optimized geometry, PBE.

E ... -19.1 eV per formula unit
Mass density ... 5.09 g/cm3
Formation energy ... 0.333 eV/atom
Polymorph energy (0 for the lowest one) ... 212 meV per atom

Cell lengths 8.114, 8.114, 8.114 Å; angles 90.00, 90.00, 90.00 degrees
Space group F-43m (No. 216)
One atom of each set of equivalent atoms:
Ca 0.000 0.000 0.000
La 0.000 0.000 0.500
La 0.250 0.250 0.750
Zr 0.250 0.250 0.250

---

Record 2
Ca2LaZr: optimized geometry, PBE.

E ... -16.1 eV per formula unit
Mass density ... 3.86 g/cm3
Formation energy ... 0.345 eV/atom
Polymorph energy (0 for the lowest one) ... 167 meV per atom

Cell lengths 5.273, 5.273, 9.601 Å; angles 90.00, 90.00, 90.00 degrees
Space group I-4m2 (No. 119)
One atom of each set of equivalent atoms:
Ca 0.000 0.000 0.000
Ca 0.000 0.500 0.250
La 0.000 0.500 0.750
Zr 0.000 0.000 0.500

---

Record 3
CaLa2Zr: optimized geometry, PBE.

E ... -18.3 eV per formula unit
Mass density ... 4.98 g/cm3
Formation energy ... 0.536 eV/atom
Polymorph energy (0 for the lowest one) ... 414 meV per atom

Cell lengths 8.930, 8.930, 6.839 Å; angles 90.00, 90.00, 90.00 degrees
Space group I-42d (No. 122)
One atom of each set of equivalent atoms:
Ca 0.000 0.000 0.000
La 0.222 0.250 0.625
Zr 0.000 0.000 0.500

---

Record 4
CaLa2Zr: optimized geometry, PBE.

E ... -19.5 eV per formula unit
Mass density ... 5.20 g/cm3
Formation energy ... 0.225 eV/atom
Polymorph energy (0 for the lowest one) ... 104 meV per atom

Cell lengths 5.309, 5.309, 9.263 Å; angles 90.00, 90.00, 90.00 degrees
Space group I4/mmm (No. 139)
One atom of each set of equivalent atoms:
Ca 0.000 0.000 0.000
La 0.000 0.500 0.250
Zr 0.000 0.000 0.500